Record 1
A plane-wave DFT calculation with SCAN was carried out for a crystal of LiMnF3 relaxed with PBEsol.

Summary:
The excess energy over the best structure of this formula in the dataset comes out at 4 meV/atom. The calculation puts the density of states at the Fermi level at 0.00 states/eV per atom. As for the magnetic moment: 30.00 μB/cell.

```
LiMnF3
1.0
-5.684 -0.317 0.992
3.585 -3.777 2.504
1.173 7.069 8.983
F Mn Li
18 6 6
Cartesian
0.733 0.141 8.351
-2.961 6.318 9.023
1.533 -3.316 3.618
-1.138 2.918 4.111
-1.209 -1.966 2.913
-0.995 0.095 6.314
0.830 -0.605 4.566
1.417 2.929 9.057
-1.673 4.081 8.552
-2.260 0.547 4.060
2.913 1.766 6.788
-0.111 2.568 6.552
-2.046 3.537 11.091
0.481 5.365 9.323
1.452 -0.847 1.685
-4.152 1.604 5.538
0.259 1.559 1.982
0.845 5.094 6.473
1.638 4.265 10.755
1.052 0.731 6.263
-2.038 1.884 5.759
0.049 0.296 0.377
0.636 3.831 4.868
-1.451 5.418 10.251
-1.617 1.683 2.609
-1.095 -0.926 4.594
0.176 3.946 7.943
-2.422 2.501 9.419
-4.180 0.201 4.109
-2.887 5.113 7.424
```

---

Record 2
A plane-wave DFT calculation with SCAN was carried out for a crystal of K2CoPt relaxed with PBEsol.

Summary:
As for the formation energy from the elements: 0.6748 eV per atom. The calculation puts the density of states at the Fermi level at 0.38 states/eV per atom. As for the magnetic moment: 1.98 μB/cell.

```
K2CoPt
1.0
2.878 0.000 0.000
0.000 5.505 0.000
0.000 -2.752 5.117
Co K Pt
1 2 1
Cartesian
1.439 0.000 0.000
0.000 -1.376 2.559
0.000 1.376 2.559
1.439 2.752 0.000
```

---

Which of these has the lowest magnetic moment? K2CoPt